VASP calculation (PBE) on an optimized crystal structure of NpMnTlBr6.

Values from the calculation:
DOS(E_F)	16.387	states/eV/cell
ΔE_f (raw)	-1.039	eV/atom
electronic total energy	-4.87	eV/atom
total magnetic moment	2.00	μB per cell

Lattice parameters (Å, degrees): 7.2546 7.2546 14.5781 90.00 90.00 120.00
Space group P-31c (No. 163)
One atom of each set of equivalent atoms:
1 Np 0.3333 0.6667 0.2500
2 Mn 0.3333 0.6667 0.7500
3 Tl 0.0000 0.0000 0.0000
4 Br 0.0192 0.3782 0.6407

=====

VASP calculation (PBE) on an optimized crystal structure of RbCuAg2B.

Values from the calculation:
DOS(E_F)	2.649	states/eV/cell
formation enthalpy at 0 K	0.91	eV/atom
electronic total energy	-2.58	eV/atom
total magnetic moment	0.00	μB per cell

Lattice parameters (Å, degrees): 4.443 4.443 5.915 90.00 90.00 90.00
Space group P4/mmm (No. 123)
One atom of each set of equivalent atoms:
1 Rb 0.000 0.000 0.000
2 Cu 0.500 0.500 0.000
3 Ag 0.000 0.500 0.500
4 B 0.000 0.000 0.500

=====

VASP calculation (PBE) on an optimized crystal structure of AgRuCl.

Values from the calculation:
DOS(E_F)	4.326	states/eV/cell
distance to the lowest polymorph of the same formula	0.34	eV per formula unit
ΔE_f (raw)	0.541	eV/atom
electronic total energy	-4.12	eV/atom
total magnetic moment	4.76	μB per cell

Lattice parameters (Å, degrees): 3.006 3.006 12.202 90.00 90.00 90.00
Space group I4mm (No. 107)
One atom of each set of equivalent atoms:
1 Ag 0.000 0.000 0.000
2 Ru 0.000 0.000 0.656
3 Cl 0.000 0.000 0.289

=====

Q: Number 1 is which compound?
A: NpMnTlBr6